(1)
A relaxed structure of Th8In2Tc3, computed with GGA-PBE.

Results
For the density of states at the Fermi level, the calculation gives 13.5 states/eV/cell. Its symmetry is No. 10. Its formation energy is -0.13 kcal/mol of atoms.

Cell lengths 4.579, 10.783, 8.835 Å; angles 116.60, 90.00, 90.00 degrees
Fractional coordinates of all 13 atoms:
1 Th 0.500 0.360 0.162
2 Th 0.000 0.388 0.803
3 Th 0.500 0.099 0.726
4 Th 0.500 0.901 0.274
5 Th 0.000 0.874 0.776
6 Th 0.000 0.612 0.197
7 Th 0.500 0.640 0.838
8 Th 0.000 0.126 0.224
9 In 0.500 0.290 0.511
10 In 0.500 0.710 0.489
11 Tc 0.500 0.000 0.000
12 Tc 0.000 0.789 0.043
13 Tc 0.000 0.211 0.957



(2)
A relaxed structure of Th2InTc, computed with GGA-PBE.

Results
The energy above the most stable polymorph in this dataset is 0.139 eV per atom. For the density of states at the Fermi level, the calculation gives 3.2 states/eV/cell. Its symmetry is No. 166. Its formation energy is -1.73 kcal/mol of atoms.

Cell lengths 4.070, 4.070, 8.530 Å; angles 76.20, 76.20, 60.00 degrees
Fractional coordinates of all 4 atoms:
1 Th 0.270 0.270 0.189
2 Th 0.730 0.730 0.811
3 In 0.500 0.500 0.500
4 Tc 0.000 0.000 0.000



(3)
A relaxed structure of Th2InTc, computed with GGA-PBE.

Results
The energy above the most stable polymorph in this dataset is 0.130 eV per atom. For the density of states at the Fermi level, the calculation gives 14.9 states/eV/cell. Its symmetry is No. 33. Its formation energy is -1.92 kcal/mol of atoms.

Cell lengths 8.061, 5.884, 9.170 Å; angles 90.00, 90.00, 90.00 degrees
Fractional coordinates of all 16 atoms:
1 Tc 0.591 0.501 0.869
2 Tc 0.091 0.499 0.131
3 Tc 0.591 0.001 0.631
4 Tc 0.091 0.999 0.369
5 In 0.873 0.751 0.750
6 In 0.373 0.249 0.250
7 In 0.373 0.749 0.250
8 In 0.873 0.251 0.750
9 Th 0.239 0.500 0.881
10 Th 0.547 0.000 0.941
11 Th 0.547 0.500 0.559
12 Th 0.047 0.000 0.059
13 Th 0.739 0.500 0.119
14 Th 0.739 0.000 0.381
15 Th 0.239 0.000 0.619
16 Th 0.047 0.500 0.441



(4)
A relaxed structure of Th3In2Tc, computed with GGA-PBE.

Results
For the density of states at the Fermi level, the calculation gives 12.2 states/eV/cell. Its symmetry is No. 12. Its formation energy is -2.35 kcal/mol of atoms.

Cell lengths 8.115, 6.779, 8.114 Å; angles 84.75, 81.21, 53.23 degrees
Fractional coordinates of all 12 atoms:
1 Tc 0.718 0.565 0.000
2 Tc 0.282 0.435 0.000
3 Th 0.095 0.364 0.771
4 Th 0.671 0.000 0.832
5 Th 0.459 0.636 0.771
6 Th 0.905 0.636 0.229
7 Th 0.541 0.364 0.229
8 Th 0.329 0.000 0.168
9 In 0.500 0.000 0.500
10 In 0.131 0.738 0.500
11 In 0.000 0.000 0.000
12 In 0.869 0.262 0.500



(5)
A relaxed structure of Th3In3Tc2, computed with GGA-PBE.

Results
For the density of states at the Fermi level, the calculation gives 6.4 states/eV/cell. Its symmetry is No. 12. Its formation energy is -6.12 kcal/mol of atoms.

Cell lengths 4.921, 5.118, 8.576 Å; angles 98.61, 106.67, 90.00 degrees
Fractional coordinates of all 8 atoms:
1 Th 0.000 0.000 0.000
2 Th 0.830 0.414 0.659
3 Th 0.170 0.586 0.341
4 Tc 0.791 0.899 0.582
5 Tc 0.209 0.101 0.418
6 In 0.632 0.066 0.263
7 In 0.368 0.934 0.737
8 In 0.500 0.500 0.000



(6)
A relaxed structure of Th4InTc, computed with GGA-PBE.

Results
The energy above the most stable polymorph in this dataset is 0.047 eV per atom. For the density of states at the Fermi level, the calculation gives 14.6 states/eV/cell. Its symmetry is No. 15. Its formation energy is -3.71 kcal/mol of atoms.

Cell lengths 6.207, 8.972, 7.989 Å; angles 114.80, 100.55, 111.45 degrees
Fractional coordinates of all 12 atoms:
1 Th 0.230 0.293 0.356
2 Th 0.374 0.937 0.644
3 Th 0.727 0.369 0.174
4 Th 0.948 0.805 0.174
5 Th 0.770 0.707 0.644
6 Th 0.273 0.631 0.826
7 Th 0.626 0.063 0.356
8 Th 0.052 0.195 0.826
9 Tc 0.253 0.003 0.007
10 Tc 0.747 0.997 0.993
11 In 0.366 0.616 0.232
12 In 0.634 0.384 0.768



(7)
A relaxed structure of Th2In8Tc, computed with GGA-PBE.

Results
For the density of states at the Fermi level, the calculation gives 8.0 states/eV/cell. Its symmetry is No. 123. Its formation energy is -4.94 kcal/mol of atoms.

Cell lengths 4.739, 4.739, 12.428 Å; angles 90.00, 90.00, 90.00 degrees
Fractional coordinates of all 11 atoms:
1 In 0.500 0.000 0.881
2 In 0.000 0.500 0.119
3 In 0.500 0.500 0.690
4 In 0.500 0.500 0.310
5 In 0.500 0.000 0.500
6 In 0.000 0.500 0.881
7 In 0.500 0.000 0.119
8 In 0.000 0.500 0.500
9 Tc 0.000 0.000 0.000
10 Th 0.000 0.000 0.306
11 Th 0.000 0.000 0.694



(8)
A relaxed structure of Th8In2Tc, computed with GGA-PBE.

Results
The energy above the most stable polymorph in this dataset is 0.036 eV per atom. For the density of states at the Fermi level, the calculation gives 13.4 states/eV/cell. Its symmetry is No. 12. Its formation energy is -0.78 kcal/mol of atoms.

Cell lengths 5.563, 6.911, 9.748 Å; angles 111.76, 106.58, 90.00 degrees
Fractional coordinates of all 11 atoms:
1 Th 0.359 0.049 0.717
2 Th 0.407 0.574 0.813
3 Th 0.786 0.706 0.571
4 Th 0.214 0.294 0.429
5 Th 0.002 0.767 0.005
6 Th 0.593 0.426 0.187
7 Th 0.641 0.951 0.283
8 Th 0.998 0.233 0.995
9 In 0.172 0.718 0.344
10 In 0.828 0.282 0.656
11 Tc 0.500 0.000 0.000



(9)
A relaxed structure of Th2InTc, computed with GGA-PBE.

Results
The energy above the most stable polymorph in this dataset is 0.000 eV per atom. For the density of states at the Fermi level, the calculation gives 2.8 states/eV/cell. Its symmetry is No. 123. Its formation energy is -4.93 kcal/mol of atoms.

Cell lengths 3.482, 3.482, 8.628 Å; angles 90.00, 90.00, 90.00 degrees
Fractional coordinates of all 4 atoms:
1 In 0.500 0.500 0.500
2 Tc 0.500 0.500 0.000
3 Th 0.000 0.000 0.207
4 Th 0.000 0.000 0.793



(10)
A relaxed structure of Th2InTc, computed with GGA-PBE.

Results
The energy above the most stable polymorph in this dataset is 0.028 eV per atom. For the density of states at the Fermi level, the calculation gives 8.1 states/eV/cell. Its symmetry is No. 63. Its formation energy is -4.28 kcal/mol of atoms.

Cell lengths 3.978, 7.376, 7.790 Å; angles 90.00, 104.79, 90.00 degrees
Fractional coordinates of all 8 atoms:
1 In 0.002 0.750 0.004
2 In 0.998 0.250 0.996
3 Th 0.645 0.498 0.290
4 Th 0.645 0.002 0.290
5 Th 0.355 0.502 0.710
6 Th 0.355 0.998 0.710
7 Tc 0.807 0.250 0.613
8 Tc 0.193 0.750 0.387



(11)
A relaxed structure of Th4In5Tc2, computed with GGA-PBE.

Results
For the density of states at the Fermi level, the calculation gives 8.5 states/eV/cell. Its symmetry is No. 10. Its formation energy is -5.98 kcal/mol of atoms.

Cell lengths 3.829, 7.961, 9.671 Å; angles 93.72, 90.00, 90.00 degrees
Fractional coordinates of all 11 atoms:
1 Th 0.500 0.181 0.845
2 Th 0.500 0.211 0.441
3 Th 0.500 0.819 0.155
4 Th 0.500 0.789 0.559
5 Tc 0.000 0.913 0.357
6 Tc 0.000 0.087 0.643
7 In 0.000 0.500 0.000
8 In 0.000 0.166 0.145
9 In 0.000 0.834 0.855
10 In 0.000 0.540 0.329
11 In 0.000 0.460 0.671



(12)
A relaxed structure of Th4InTc, computed with GGA-PBE.

Results
The energy above the most stable polymorph in this dataset is 0.000 eV per atom. For the density of states at the Fermi level, the calculation gives 31.6 states/eV/cell. Its symmetry is No. 216. Its formation energy is -4.79 kcal/mol of atoms.

Cell lengths 9.907, 9.907, 9.907 Å; angles 60.00, 60.00, 60.00 degrees
Fractional coordinates of all 24 atoms:
1 Th 0.187 0.813 0.813
2 Th 0.813 0.187 0.813
3 Th 0.944 0.556 0.944
4 Th 0.187 0.813 0.187
5 Th 0.403 0.790 0.403
6 Th 0.790 0.403 0.403
7 Th 0.813 0.187 0.187
8 Th 0.944 0.944 0.556
9 Th 0.403 0.403 0.790
10 Th 0.556 0.944 0.556
11 Th 0.944 0.556 0.556
12 Th 0.813 0.813 0.187
13 Th 0.187 0.187 0.813
14 Th 0.403 0.403 0.403
15 Th 0.556 0.944 0.944
16 Th 0.556 0.556 0.944
17 In 0.170 0.170 0.170
18 In 0.170 0.170 0.491
19 In 0.491 0.170 0.170
20 In 0.170 0.491 0.170
21 Tc 0.613 0.160 0.613
22 Tc 0.160 0.613 0.613
23 Tc 0.613 0.613 0.160
24 Tc 0.613 0.613 0.613